# 1
Below is a geometry-optimized Pm4UAs5 structure, with properties calculated at the PBE level. Values from VASP.

The structure in Quantum ESPRESSO input format:
```
&SYSTEM
  ibrav = 0, nat = 10, ntyp = 3
/
ATOMIC_SPECIES
Pm 145.00 Pm.upf
U 238.03 U.upf
As 74.92 As.upf
CELL_PARAMETERS angstrom
-4.695 4.695 2.972
4.695 -4.695 2.972
4.695 4.695 -2.972
ATOMIC_POSITIONS crystal
Pm 0.098 0.301 0.398
Pm 0.301 0.902 0.203
Pm 0.699 0.098 0.797
Pm 0.902 0.699 0.602
U 0.500 0.500 0.000
As 0.000 0.000 0.000
As 0.209 0.596 0.806
As 0.404 0.209 0.613
As 0.596 0.791 0.387
As 0.791 0.404 0.194
```

Values from the calculation:
Density = 7558 kg/m3
Raw total energy = -6.722 eV/atom

=====

# 2
Below is a geometry-optimized PmUAs2 structure, with properties calculated at the PBE level. Values from VASP.

The structure in Quantum ESPRESSO input format:
```
&SYSTEM
  ibrav = 0, nat = 4, ntyp = 3
/
ATOMIC_SPECIES
Pm 145.00 Pm.upf
U 238.03 U.upf
As 74.92 As.upf
CELL_PARAMETERS angstrom
0.000 3.577 3.577
3.577 0.000 3.577
3.577 3.577 0.000
ATOMIC_POSITIONS crystal
Pm 0.000 0.000 0.000
U 0.500 0.500 0.500
As 0.250 0.250 0.250
As 0.750 0.750 0.750
```

Values from the calculation:
Density = 9665 kg/m3
Raw total energy = -7.105 eV/atom
E above lowest polymorph = 0.3612 eV per atom

=====

# 3
Below is a geometry-optimized PmUAs2 structure, with properties calculated at the PBE level. Values from VASP.

The structure in Quantum ESPRESSO input format:
```
&SYSTEM
  ibrav = 0, nat = 4, ntyp = 3
/
ATOMIC_SPECIES
Pm 145.00 Pm.upf
U 238.03 U.upf
As 74.92 As.upf
CELL_PARAMETERS angstrom
2.061 1.190 6.908
-2.061 1.190 6.908
0.000 -2.380 6.908
ATOMIC_POSITIONS crystal
Pm 0.000 0.000 0.000
U 0.500 0.500 0.500
As 0.246 0.246 0.246
As 0.754 0.754 0.754
```

Values from the calculation:
Density = 8706 kg/m3
Raw total energy = -7.466 eV/atom
E above lowest polymorph = 0.0000 eV per atom

=====

# 4
Below is a geometry-optimized Pm5UAs6 structure, with properties calculated at the PBE level. Values from VASP.

The structure in Quantum ESPRESSO input format:
```
&SYSTEM
  ibrav = 0, nat = 12, ntyp = 3
/
ATOMIC_SPECIES
Pm 145.00 Pm.upf
U 238.03 U.upf
As 74.92 As.upf
CELL_PARAMETERS angstrom
3.644 -6.312 0.000
3.644 6.312 0.000
-2.431 0.000 6.864
ATOMIC_POSITIONS crystal
Pm 0.000 0.000 0.000
Pm 0.166 0.834 0.500
Pm 0.331 0.669 0.000
Pm 0.669 0.331 0.000
Pm 0.834 0.166 0.500
U 0.500 0.500 0.500
As 0.095 0.419 0.256
As 0.259 0.259 0.744
As 0.419 0.095 0.256
As 0.581 0.905 0.744
As 0.741 0.741 0.256
As 0.905 0.581 0.744
```

Values from the calculation:
Density = 7429 kg/m3
Raw total energy = -6.641 eV/atom

=====

# 5
Below is a geometry-optimized PmUAs2 structure, with properties calculated at the PBE level. Values from VASP.

The structure in Quantum ESPRESSO input format:
```
&SYSTEM
  ibrav = 0, nat = 4, ntyp = 3
/
ATOMIC_SPECIES
Pm 145.00 Pm.upf
U 238.03 U.upf
As 74.92 As.upf
CELL_PARAMETERS angstrom
2.039 1.177 7.197
-2.039 1.177 7.197
0.000 -2.355 7.197
ATOMIC_POSITIONS crystal
Pm 0.000 0.000 0.000
U 0.828 0.828 0.828
As 0.242 0.242 0.242
As 0.417 0.417 0.417
```

Values from the calculation:
Density = 8534 kg/m3
Raw total energy = -7.315 eV/atom
E above lowest polymorph = 0.1512 eV per atom

=====

# 6
Below is a geometry-optimized PmUAs2 structure, with properties calculated at the PBE level. Values from VASP.

The structure in Quantum ESPRESSO input format:
```
&SYSTEM
  ibrav = 0, nat = 4, ntyp = 3
/
ATOMIC_SPECIES
Pm 145.00 Pm.upf
U 238.03 U.upf
As 74.92 As.upf
CELL_PARAMETERS angstrom
3.564 0.000 0.000
0.000 3.564 0.000
0.000 0.000 7.187
ATOMIC_POSITIONS crystal
Pm 0.000 0.000 0.000
U 0.000 0.000 0.500
As 0.500 0.500 0.263
As 0.500 0.500 0.737
```

Values from the calculation:
Density = 9691 kg/m3
Raw total energy = -7.156 eV/atom
E above lowest polymorph = 0.3104 eV per atom

=====

raw total energy of number 6 (PmUAs2)?
-7.156 eV/atom